A relaxed structure of Pr2SmPb3. Source: the Alexandria database, functional PBE.

CIF file:
```
data_Pr2SmPb3
_chemical_formula_sum 'Pr8 Sm4 Pb12'
_cell_length_a 9.702
_cell_length_b 14.797
_cell_length_c 5.942
_cell_angle_alpha 90.00
_cell_angle_beta 116.22
_cell_angle_gamma 90.00
_space_group_name_H-M_alt 'C 1 2/c 1'
_space_group_IT_number 15
loop_
_space_group_symop_operation_xyz
'x,y,z'
'-x,-y,-z'
'-x,y,-z+1/2'
'x,-y,z+1/2'
'x+1/2,y+1/2,z'
'-x+1/2,-y+1/2,-z'
'-x+1/2,y+1/2,-z+1/2'
'x+1/2,-y+1/2,z+1/2'
loop_
_atom_site_label
_atom_site_type_symbol
_atom_site_fract_x
_atom_site_fract_y
_atom_site_fract_z
Pr1 Pr 0.000 0.083 0.250
Pr2 Pr 0.000 0.249 0.750
Sm1 Sm 0.000 0.416 0.250
Pb1 Pb 0.246 0.418 0.003
Pb2 Pb 0.250 0.250 0.500
```

Results
Offset from the most stable computed form, meV per atom: 29
Final energy, eV per atom: -4.72
Energy of formation, kJ per mole of atoms: -47.2

---

A relaxed structure of Pr7SmPb4. Source: the Alexandria database, functional PBE.

CIF file:
```
data_Pr7SmPb4
_chemical_formula_sum 'Pr14 Sm2 Pb8'
_cell_length_a 14.486
_cell_length_b 6.029
_cell_length_c 11.386
_cell_angle_alpha 90.00
_cell_angle_beta 124.65
_cell_angle_gamma 90.00
_space_group_name_H-M_alt 'C 1 2/m 1'
_space_group_IT_number 12
loop_
_space_group_symop_operation_xyz
'x,y,z'
'-x,-y,-z'
'-x,y,-z'
'x,-y,z'
'x+1/2,y+1/2,z'
'-x+1/2,-y+1/2,-z'
'-x+1/2,y+1/2,-z'
'x+1/2,-y+1/2,z'
loop_
_atom_site_label
_atom_site_type_symbol
_atom_site_fract_x
_atom_site_fract_y
_atom_site_fract_z
Pr1 Pr 0.000 0.000 0.000
Pr2 Pr 0.053 0.500 0.369
Pr3 Pr 0.187 0.000 0.608
Pr4 Pr 0.209 0.500 0.891
Sm1 Sm 0.000 0.500 0.000
Pb1 Pb 0.067 0.000 0.764
Pb2 Pb 0.203 0.000 0.328
```

Results
Final energy, eV per atom: -4.60
Energy of formation, kJ per mole of atoms: -17.3

---

A relaxed structure of Pr8Sm5Pb. Source: the Alexandria database, functional PBE.

CIF file:
```
data_Pr8Sm5Pb
_chemical_formula_sum 'Pr16 Sm10 Pb2'
_cell_length_a 13.596
_cell_length_b 8.922
_cell_length_c 9.748
_cell_angle_alpha 90.00
_cell_angle_beta 121.84
_cell_angle_gamma 90.00
_space_group_name_H-M_alt 'C 1 2 1'
_space_group_IT_number 5
loop_
_space_group_symop_operation_xyz
'x,y,z'
'-x,y,-z'
'x+1/2,y+1/2,z'
'-x+1/2,y+1/2,-z'
loop_
_atom_site_label
_atom_site_type_symbol
_atom_site_fract_x
_atom_site_fract_y
_atom_site_fract_z
Pr1 Pr 0.070 0.000 0.207
Pr2 Pr 0.157 0.379 0.150
Pr3 Pr 0.173 0.667 0.456
Pr4 Pr 0.205 0.225 0.845
Sm1 Sm 0.000 0.955 0.500
Sm2 Sm 0.082 0.320 0.436
Sm3 Sm 0.114 0.610 0.776
Pb1 Pb 0.000 0.687 0.000
```

Results
Final energy, eV per atom: -4.56
Energy of formation, kJ per mole of atoms: 11.4

---

A relaxed structure of PrSmPb. Source: the Alexandria database, functional PBE.

CIF file:
```
data_PrSmPb
_chemical_formula_sum 'Pr1 Sm1 Pb1'
_cell_length_a 5.3316
_cell_length_b 5.3316
_cell_length_c 3.9709
_cell_angle_alpha 90.00
_cell_angle_beta 90.00
_cell_angle_gamma 120.00
_space_group_name_H-M_alt 'P 3 m 1'
_space_group_IT_number 156
loop_
_space_group_symop_operation_xyz
'x,y,z'
'-y,x-y,z'
'-x+y,-x,z'
'-y,-x,z'
'-x+y,y,z'
'x,x-y,z'
loop_
_atom_site_label
_atom_site_type_symbol
_atom_site_fract_x
_atom_site_fract_y
_atom_site_fract_z
Pr1 Pr 0.0000 0.0000 0.0000
Sm1 Sm 0.6667 0.3333 0.4458
Pb1 Pb 0.3333 0.6667 0.6725
```

Results
Offset from the most stable computed form, meV per atom: 217
Final energy, eV per atom: -4.63
Energy of formation, kJ per mole of atoms: -22.4

---

A relaxed structure of PrSmPb2. Source: the Alexandria database, functional PBE.

CIF file:
```
data_PrSmPb2
_chemical_formula_sum 'Pr1 Sm1 Pb2'
_cell_length_a 3.613
_cell_length_b 3.613
_cell_length_c 9.211
_cell_angle_alpha 90.00
_cell_angle_beta 90.00
_cell_angle_gamma 90.00
_space_group_name_H-M_alt 'P 4/m m m'
_space_group_IT_number 123
_space_group_name_Hall '-P 4 2'
loop_
_atom_site_label
_atom_site_type_symbol
_atom_site_fract_x
_atom_site_fract_y
_atom_site_fract_z
Pr1 Pr 0.000 0.000 0.000
Sm1 Sm 0.000 0.000 0.500
Pb1 Pb 0.500 0.500 0.254
```

Results
Final energy, eV per atom: -4.73
Energy of formation, kJ per mole of atoms: -48.8

---

A relaxed structure of Pr2Sm8Pb. Source: the Alexandria database, functional PBE.

CIF file:
```
data_Pr2Sm8Pb
_chemical_formula_sum 'Pr4 Sm16 Pb2'
_cell_length_a 18.509
_cell_length_b 5.037
_cell_length_c 8.107
_cell_angle_alpha 90.00
_cell_angle_beta 105.17
_cell_angle_gamma 90.00
_space_group_name_H-M_alt 'C 1 2/m 1'
_space_group_IT_number 12
loop_
_space_group_symop_operation_xyz
'x,y,z'
'-x,-y,-z'
'-x,y,-z'
'x,-y,z'
'x+1/2,y+1/2,z'
'-x+1/2,-y+1/2,-z'
'-x+1/2,y+1/2,-z'
'x+1/2,-y+1/2,z'
loop_
_atom_site_label
_atom_site_type_symbol
_atom_site_fract_x
_atom_site_fract_y
_atom_site_fract_z
Pr1 Pr 0.222 0.000 0.135
Sm1 Sm 0.044 0.000 0.227
Sm2 Sm 0.089 0.500 0.940
Sm3 Sm 0.136 0.000 0.678
Sm4 Sm 0.179 0.500 0.408
Pb1 Pb 0.000 0.500 0.500
```

Results
Final energy, eV per atom: -4.71
Energy of formation, kJ per mole of atoms: -7.2

---

A relaxed structure of PrSm8Pb2. Source: the Alexandria database, functional PBE.

CIF file:
```
data_PrSm8Pb2
_chemical_formula_sum 'Pr2 Sm16 Pb4'
_cell_length_a 16.674
_cell_length_b 6.859
_cell_length_c 6.472
_cell_angle_alpha 90.00
_cell_angle_beta 94.99
_cell_angle_gamma 90.00
_space_group_name_H-M_alt 'C 1 2/m 1'
_space_group_IT_number 12
loop_
_space_group_symop_operation_xyz
'x,y,z'
'-x,-y,-z'
'-x,y,-z'
'x,-y,z'
'x+1/2,y+1/2,z'
'-x+1/2,-y+1/2,-z'
'-x+1/2,y+1/2,-z'
'x+1/2,-y+1/2,z'
loop_
_atom_site_label
_atom_site_type_symbol
_atom_site_fract_x
_atom_site_fract_y
_atom_site_fract_z
Pr1 Pr 0.000 0.000 0.000
Sm1 Sm 0.083 0.500 0.896
Sm2 Sm 0.098 0.256 0.404
Sm3 Sm 0.212 0.000 0.832
Pb1 Pb 0.245 0.500 0.670
```

Results
Final energy, eV per atom: -4.64
Energy of formation, kJ per mole of atoms: -9.5

---

A relaxed structure of Pr2Sm2Pb. Source: the Alexandria database, functional PBE.

CIF file:
```
data_Pr2Sm2Pb
_chemical_formula_sum 'Pr4 Sm4 Pb2'
_cell_length_a 4.483
_cell_length_b 4.483
_cell_length_c 17.755
_cell_angle_alpha 90.00
_cell_angle_beta 90.00
_cell_angle_gamma 90.00
_space_group_name_H-M_alt 'I 4/m m m'
_space_group_IT_number 139
_space_group_name_Hall '-I 4 2'
loop_
_atom_site_label
_atom_site_type_symbol
_atom_site_fract_x
_atom_site_fract_y
_atom_site_fract_z
Pr1 Pr 0.000 0.000 0.086
Sm1 Sm 0.000 0.500 0.250
Pb1 Pb 0.000 0.000 0.500
```

Results
Final energy, eV per atom: -4.37
Energy of formation, kJ per mole of atoms: 16.9

---

The highest final energy belongs to which entry?
Pr2Sm2Pb

---

The lowest energy of formation belongs to which entry?
PrSmPb2

---

Which formula does entry 5 have?
PrSmPb2

---

Among the records above, which one has the highest final energy?
Pr2Sm2Pb